The following is a DFT calculation (PBEsol) of a relaxed structure of Ti2Mn3Cr3O16.

a = 5.667 Å, b = 5.683 Å, c = 8.908 Å
α = 89.35°, β = 90.00°, γ = 119.91°
Each line ends with the local moment (μB).
Atoms (fractional coordinates):
O 0.666 0.836 0.100  0.01
O 0.999 0.999 0.817  0.04
O 0.169 0.836 0.100  0.01
O 0.839 0.678 0.600  0.03
O 0.841 0.176 0.603  -0.01
O 0.165 0.331 0.106  -0.05
O 0.961 0.482 0.333  0.00
O 0.483 0.524 0.833  -0.01
O 0.340 0.681 0.602  0.03
O 0.335 0.176 0.603  -0.01
O 0.041 0.524 0.833  -0.01
O 0.669 0.338 0.099  0.00
O 0.998 0.996 0.311  -0.05
O 0.522 0.482 0.333  0.00
O 0.482 0.965 0.834  0.01
O 0.520 0.041 0.338  -0.04
Mn 0.666 0.838 0.713  2.78
Mn 0.172 0.838 0.713  2.78
Mn 0.832 0.663 0.209  2.79
Cr 0.339 0.164 0.214  1.99
Cr 0.825 0.164 0.214  1.99
Cr 0.169 0.339 0.712  1.97
Ti 0.333 0.665 0.992  0.14
Ti 0.676 0.352 0.492  0.14

For the total moment, the calculation gives 15.00 μB/f.u. Its density of states at the Fermi level is 0.392 states/eV/atom. The uncorrected formation energy comes out at -1.998 eV per atom.

The following is a DFT calculation (PBEsol) of a relaxed structure of Y2MnCrO6.

a = 5.255 Å, b = 5.646 Å, c = 7.326 Å
α = 90.00°, β = 89.52°, γ = 90.00°
Each line ends with the local moment (μB).
Atoms (fractional coordinates):
O 0.814 0.697 0.553  0.05
O 0.314 0.803 0.053  0.05
O 0.306 0.813 0.445  0.07
O 0.806 0.687 0.945  0.07
O 0.186 0.303 0.447  0.05
O 0.694 0.187 0.555  0.07
O 0.390 0.537 0.746  0.02
O 0.194 0.313 0.055  0.07
O 0.890 0.963 0.246  0.02
O 0.110 0.037 0.754  0.02
O 0.610 0.463 0.254  0.02
O 0.686 0.197 0.947  0.05
Y 0.520 0.924 0.751  0.04
Y 0.480 0.076 0.249  0.04
Y 0.020 0.576 0.251  0.04
Y 0.980 0.424 0.749  0.04
Mn 0.500 0.500 0.500  3.58
Mn 0.000 0.000 0.000  3.58
Cr 0.000 0.000 0.500  2.75
Cr 0.500 0.500 0.000  2.75

For the total moment, the calculation gives 7.00 μB/f.u. Its density of states at the Fermi level is 0.194 states/eV/atom. The uncorrected formation energy comes out at -2.730 eV per atom.